# BaIr2Pt

BaIr2Pt after structural relaxation (PBE-GGA, Alexandria via LeMat-Bulk).

Output
- E_form (eV per atom) = 0.641
- crystal system = orthorhombic
- magnetic moment (μB/f.u.) = 0.0
- volume (Å³/f.u.) = 77
- distance to the lowest polymorph of the same formula (kcal/mol of atoms) = 19.587

Lattice parameters (Å, degrees): 5.2672 5.2672 2.9785 90.00 90.00 110.73
Fractional positions:
1 Ba 0.0000 0.0000 0.0000
2 Ir 0.0000 0.5000 0.5000
3 Ir 0.5000 0.0000 0.5000
4 Pt 0.5000 0.5000 0.0000